w) {
  "formula": "Cs2ScPb",
  "functional": "PBE-GGA",
  "state": "relaxed",
  "lattice_angstrom": [[2.000, -5.872, 1.495], [-3.498, -5.077, -1.644], [2.049, -3.936, -4.585]],
  "species": ["Pb", "Sc", "Cs", "Cs"],
  "fractional_positions": [[0.500, 0.500, 0.500], [0.000, 0.000, 0.000], [0.250, 0.250, 0.250], [0.750, 0.750, 0.750]],
  "sg": "No. 225",
  "crystal_system": "cubic",
  "density_g_cm3": 4.7
}

x) {
  "formula": "Cs2ScPb",
  "functional": "PBE-GGA",
  "state": "relaxed",
  "lattice_angstrom": [[-4.750, -5.726, 7.594], [-0.011, 8.519, -6.360], [-2.618, -6.752, -7.783]],
  "species": ["Cs", "Cs", "Cs", "Cs", "Pb", "Pb", "Sc", "Sc"],
  "fractional_positions": [[0.625, 0.786, 0.661], [0.214, 0.875, 0.839], [0.125, 0.964, 0.339], [0.036, 0.375, 0.161], [0.000, 0.000, 0.000], [0.250, 0.750, 0.500], [0.750, 0.250, 0.500], [0.500, 0.500, 0.000]],
  "sg": "No. 122",
  "crystal_system": "tetragonal",
  "density_g_cm3": 2.9
}

Taking the most stable structure as the zero point, the relative energies in kJ/mol of atoms are w) 34.0; x) 0.0.

w) {
  "formula": "CsSc2Pb2",
  "functional": "PBE-GGA",
  "state": "relaxed",
  "lattice_angstrom": [[-5.922, -7.409, -1.548], [-0.777, -1.361, 9.482], [-2.640, 2.092, 0.084]],
  "species": ["Sc", "Sc", "Sc", "Sc", "Cs", "Cs", "Pb", "Pb", "Pb", "Pb"],
  "fractional_positions": [[0.868, 0.632, 0.500], [0.132, 0.368, 0.500], [0.632, 0.132, 0.500], [0.368, 0.868, 0.500], [0.000, 0.000, 0.000], [0.500, 0.500, 0.000], [0.846, 0.346, 0.000], [0.654, 0.846, 0.000], [0.346, 0.154, 0.000], [0.154, 0.654, 0.000]],
  "sg": "No. 127",
  "crystal_system": "tetragonal",
  "density_g_cm3": 6.8
}

x) {
  "formula": "CsSc2Pb2",
  "functional": "PBE-GGA",
  "state": "relaxed",
  "lattice_angstrom": [[9.349, 0.000, 0.000], [0.000, 9.349, 0.000], [0.000, 0.000, 3.394]],
  "species": ["Pb", "Pb", "Pb", "Pb", "Sc", "Sc", "Sc", "Sc", "Cs", "Cs"],
  "fractional_positions": [[0.841, 0.341, 0.500], [0.341, 0.159, 0.500], [0.159, 0.659, 0.500], [0.659, 0.841, 0.500], [0.371, 0.871, 0.000], [0.629, 0.129, 0.000], [0.871, 0.629, 0.000], [0.129, 0.371, 0.000], [0.500, 0.500, 0.000], [0.000, 0.000, 0.000]],
  "sg": "No. 127",
  "crystal_system": "tetragonal",
  "density_g_cm3": 7.1
}

Taking the most stable structure as the zero point, the relative energies in kJ/mol of atoms are w) 8.6; x) 0.0.